(1)
DFT (PBE) results for LiTc2O6 after structural relaxation.

abc: 5.1641 5.1641 5.1865
angles: 104.00 104.00 116.58
Positions (direct):
1 O 0.0300 0.3967 0.7865
2 O 0.8149 0.8149 0.7522
3 O 0.9700 0.6033 0.2135
4 O 0.6033 0.9700 0.2135
5 Tc 0.1723 0.8278 0.0000
6 O 0.1851 0.1851 0.2478
7 Li 0.0000 0.0000 0.5000
8 Tc 0.8278 0.1723 0.0000
9 O 0.3967 0.0300 0.7865

Computed properties:
- Spin magnetization: 0.05 μB/f.u.
- Raw total energy: -7.19 eV/atom

(2)
DFT (PBE) results for Li5TcO6 after structural relaxation.

abc: 4.9949 4.9949 4.9696
angles: 99.83 99.83 119.88
Positions (direct):
1 O 0.3902 0.0786 0.2371
2 O 0.7681 0.7681 0.2321
3 Li 0.6670 0.3330 0.0000
4 Li 0.5000 0.5000 0.5000
5 O 0.2319 0.2319 0.7679
6 Li 0.1770 0.8230 0.5000
7 Li 0.3330 0.6670 0.0000
8 Li 0.8230 0.1770 0.5000
9 Tc 0.0000 0.0000 0.0000
10 O 0.0786 0.3902 0.2371
11 O 0.9214 0.6098 0.7629
12 O 0.6098 0.9214 0.7629

Computed properties:
- Spin magnetization: 0.00 μB/f.u.
- Raw total energy: -5.94 eV/atom

(3)
DFT (PBE) results for LiTc2O4 after structural relaxation.

abc: 6.0906 6.0906 6.0906
angles: 119.99 90.02 119.99
Positions (direct):
1 O 0.1354 0.7291 0.8645
2 O 0.6146 0.7709 0.3855
3 O 0.1563 0.7709 0.3854
4 O 0.1355 0.2709 0.8646
5 O 0.1354 0.2709 0.4064
6 O 0.5936 0.7291 0.8646
7 O 0.6146 0.2291 0.8437
8 Li 0.7500 0.5000 0.2500
9 Li 0.0000 0.0000 0.0000
10 Tc 0.3750 0.2500 0.6250
11 Tc 0.8750 0.2500 0.6250
12 Tc 0.3750 0.7500 0.1250
13 O 0.6145 0.2291 0.3854
14 Tc 0.3750 0.7500 0.6250

Computed properties:
- Spin magnetization: 5.00 μB/f.u.
- Raw total energy: -7.43 eV/atom